Density functional theory data (GGA-PBE) for a relaxed structure of AcBeAu3.

The structure in CIF format:
```
data_AcBeAu3
_space_group_name_H-M_alt 'P 1'
_space_group_IT_number 1
_cell_length_a 5.506
_cell_length_b 6.642
_cell_length_c 6.642
_cell_angle_alpha 120.00
_cell_angle_beta 90.00
_cell_angle_gamma 90.00
loop_
_space_group_symop_operation_xyz
'x,y,z'
loop_
_atom_site_label
_atom_site_type_symbol
_atom_site_fract_x
_atom_site_fract_y
_atom_site_fract_z
Ac1 Ac 0.750 0.667 0.333
Ac2 Ac 0.250 0.333 0.667
Be1 Be 0.000 0.000 0.000
Be2 Be 0.500 0.000 0.000
Au1 Au 0.750 0.645 0.823
Au2 Au 0.250 0.823 0.645
Au3 Au 0.250 0.355 0.177
Au4 Au 0.750 0.177 0.355
Au5 Au 0.250 0.823 0.177
Au6 Au 0.750 0.177 0.823
```

Summary:
- Energy of formation: -0.545 eV per atom
- Energy relative to the lowest polymorph listed for this composition: 0 meV per atom
- Crystal system: hexagonal